i:
Here is BeCr2Cd2 after structural relaxation from Alexandria. Energies are from PBE.

```
data_BeCr2Cd2
_cell_length_a 3.1217
_cell_length_b 3.1217
_cell_length_c 16.6152
_cell_angle_alpha 90.00
_cell_angle_beta 90.00
_cell_angle_gamma 90.00
_symmetry_space_group_name_H-M 'I 4/m m m'
_symmetry_Int_Tables_number 139
_symmetry_space_group_name_Hall '-I 4 2'
loop_
_atom_site_label
_atom_site_type_symbol
_atom_site_fract_x
_atom_site_fract_y
_atom_site_fract_z
Be1 Be 0.0000 0.0000 0.0000
Cr1 Cr 0.0000 0.5000 0.2500
Cd1 Cd 0.0000 0.0000 0.3997
```



ii:
Here is BeCr2Cd2 after structural relaxation from Alexandria. Energies are from PBE.

```
data_BeCr2Cd2
_cell_length_a 7.2761
_cell_length_b 7.2761
_cell_length_c 3.2081
_cell_angle_alpha 90.00
_cell_angle_beta 90.00
_cell_angle_gamma 90.00
_symmetry_space_group_name_H-M 'P 4/m b m'
_symmetry_Int_Tables_number 127
_symmetry_space_group_name_Hall '-P 4 2ab'
loop_
_atom_site_label
_atom_site_type_symbol
_atom_site_fract_x
_atom_site_fract_y
_atom_site_fract_z
Be1 Be 0.0000 0.0000 0.0000
Cr1 Cr 0.0906 0.4094 0.5000
Cd1 Cd 0.2003 0.7003 0.0000
```



What should be chosen as the most stable of them? Choose i.



i:
Here is BeCrCd after structural relaxation from Alexandria. Energies are from PBE.

```
data_BeCrCd
_cell_length_a 4.2412
_cell_length_b 4.2412
_cell_length_c 2.8985
_cell_angle_alpha 90.00
_cell_angle_beta 90.00
_cell_angle_gamma 120.00
_symmetry_space_group_name_H-M 'P -6 m 2'
_symmetry_Int_Tables_number 187
_symmetry_space_group_name_Hall 'P -6 2'
loop_
_atom_site_label
_atom_site_type_symbol
_atom_site_fract_x
_atom_site_fract_y
_atom_site_fract_z
Be1 Be 0.0000 0.0000 0.0000
Cr1 Cr 0.3333 0.6667 0.5000
Cd1 Cd 0.6667 0.3333 0.0000
```



ii:
Here is BeCrCd after structural relaxation from Alexandria. Energies are from PBE.

```
data_BeCrCd
_cell_length_a 3.3952
_cell_length_b 4.0360
_cell_length_c 11.9607
_cell_angle_alpha 90.00
_cell_angle_beta 90.00
_cell_angle_gamma 90.00
_symmetry_space_group_name_H-M 'F m m 2'
_symmetry_Int_Tables_number 42
_symmetry_space_group_name_Hall 'F 2 -2'
loop_
_atom_site_label
_atom_site_type_symbol
_atom_site_fract_x
_atom_site_fract_y
_atom_site_fract_z
Be1 Be 0.0000 0.0000 0.0000
Cr1 Cr 0.0000 0.0000 0.6327
Cd1 Cd 0.0000 0.0000 0.3225
```



What should be chosen as the most stable of them? Choose i.